Material: Cs2MnO2
Method: DFT, PBE+U
State: optimized geometry

Output
* calculated density: 4.05 Mg/m³
* space group: C2/m
* magnetization: 9.997 Bohr magnetons per cell
* crystal system: monoclinic
* VASP energy: -5.07 eV per atom

```
10
Lattice="6.781 -3.050 0.000 6.781 3.050 0.000 -5.406 0.000 6.999" Properties=species:S:1:pos:R:3 pbc="T T T"
Cs -0.804 0.000 1.863
Cs -0.673 0.000 6.557
Cs 8.829 0.000 0.443
Cs 8.960 0.000 5.137
Mn 2.950 0.000 2.612
Mn 5.207 0.000 4.387
O 1.972 0.000 0.963
O 3.110 0.000 4.586
O 5.046 0.000 2.414
O 6.184 0.000 6.036
```